The following is a DFT calculation (PBE-GGA) of crystalline CoOs2Rh at its relaxed geometry.

Cell: 2.7311 4.5182 4.5305 Å, 90.00 90.00 90.00°
Site moments in Bohr magnetons follow the coordinates.
Positions (direct):
Co: 0.0000 0.5000 0.5000  1.65
Os: 0.0000 0.0000 0.0000  0.30
Os: 0.5000 0.5000 0.0000  0.37
Rh: 0.5000 0.0000 0.5000  0.38

Results
total DFT energy (no corrections) = -35.034 eV/cell
ΔE_f = 471 meV/atom


The following is a DFT calculation (PBE-GGA) of crystalline CoOsRh at its relaxed geometry.

Cell: 3.9742 3.9742 3.9742 Å, 60.00 60.00 60.00°
Site moments in Bohr magnetons follow the coordinates.
Positions (direct):
Co: 0.7500 0.7500 0.7500  0.88
Os: 0.0000 0.0000 0.0000  0.13
Rh: 0.5000 0.5000 0.5000  0.26

Results
total DFT energy (no corrections) = -23.725 eV/cell
ΔE_f = 654 meV/atom


The following is a DFT calculation (PBE-GGA) of crystalline CoOs2Rh at its relaxed geometry.

Cell: 4.2808 4.2808 4.2808 Å, 60.00 60.00 60.00°
Site moments in Bohr magnetons follow the coordinates.
Positions (direct):
Co: 0.5000 0.5000 0.5000  1.64
Os: 0.0000 0.0000 0.0000  -0.02
Os: 0.2500 0.2500 0.2500  0.33
Rh: 0.7500 0.7500 0.7500  -0.03

Results
total DFT energy (no corrections) = -34.950 eV/cell
ΔE_f = 492 meV/atom


The following is a DFT calculation (PBE-GGA) of crystalline CoOsRh at its relaxed geometry.

Cell: 7.0354 6.7973 2.6464 Å, 84.08 73.95 21.97°
Site moments in Bohr magnetons follow the coordinates.
Positions (direct):
Co: 0.0014 0.0014 0.9986  1.74
Os: 0.6612 0.6612 0.3388  0.41
Rh: 0.3374 0.3374 0.6626  0.22

Results
total DFT energy (no corrections) = -24.480 eV/cell
ΔE_f = 402 meV/atom


The following is a DFT calculation (PBE-GGA) of crystalline CoOsRh at its relaxed geometry.

Cell: 5.7916 5.7916 5.7916 Å, 153.23 153.23 38.22°
Site moments in Bohr magnetons follow the coordinates.
Positions (direct):
Co: 0.9946 0.9946 0.0000  0.86
Os: 0.3403 0.3403 0.0000  -0.07
Rh: 0.6650 0.6650 0.0000  0.05

Results
total DFT energy (no corrections) = -25.354 eV/cell
ΔE_f = 111 meV/atom


The following is a DFT calculation (PBE-GGA) of crystalline CoOs2Rh at its relaxed geometry.

Cell: 4.6018 4.6018 4.6002 Å, 131.39 131.39 71.22°
Site moments in Bohr magnetons follow the coordinates.
Positions (direct):
Co: 0.2500 0.7500 0.5000  0.81
Os: 0.0001 0.0001 0.0000  0.08
Os: 0.7500 0.2500 0.5000  -0.01
Rh: 0.5000 0.5000 0.0000  0.16

Results
total DFT energy (no corrections) = -36.336 eV/cell
ΔE_f = 145 meV/atom


The following is a DFT calculation (PBE-GGA) of crystalline CoOs2Rh6 at its relaxed geometry.

Cell: 3.8086 6.0290 6.0316 Å, 84.28 71.60 71.59°
Site moments in Bohr magnetons follow the coordinates.
Positions (direct):
Co: 0.0000 0.5000 0.5000  0.86
Os: 0.3304 0.5000 0.8392  -0.05
Os: 0.6696 0.5000 0.1608  -0.05
Rh: 0.9961 0.1767 0.8312  0.01
Rh: 0.3272 0.1767 0.1688  0.01
Rh: 0.6728 0.8233 0.8312  0.01
Rh: 0.3394 0.8213 0.5000  -0.02
Rh: 0.6606 0.1787 0.5000  -0.02
Rh: 0.0039 0.8233 0.1688  0.01

Results
total DFT energy (no corrections) = -73.417 eV/cell
ΔE_f = 29 meV/atom


The following is a DFT calculation (PBE-GGA) of crystalline CoOs2Rh at its relaxed geometry.

Cell: 2.6692 2.6692 7.5078 Å, 90.00 90.00 90.00°
Site moments in Bohr magnetons follow the coordinates.
Positions (direct):
Co: 0.5000 0.5000 0.7500  0.83
Os: 0.0000 0.0000 0.9868  0.02
Os: 0.0000 0.0000 0.5132  0.02
Rh: 0.5000 0.5000 0.2500  -0.01

Results
total DFT energy (no corrections) = -36.235 eV/cell
ΔE_f = 170 meV/atom


The following is a DFT calculation (PBE-GGA) of crystalline CoOsRh at its relaxed geometry.

Cell: 4.1733 4.1733 2.6191 Å, 90.00 90.00 120.00°
Site moments in Bohr magnetons follow the coordinates.
Positions (direct):
Co: 0.0000 0.0000 0.8332  1.03
Os: 0.3333 0.6667 0.3334  -0.18
Rh: 0.6667 0.3333 0.8334  0.03

Results
total DFT energy (no corrections) = -25.031 eV/cell
ΔE_f = 219 meV/atom


The following is a DFT calculation (PBE-GGA) of crystalline CoOsRh at its relaxed geometry.

Cell: 4.0743 4.0743 4.0743 Å, 60.00 60.00 60.00°
Site moments in Bohr magnetons follow the coordinates.
Positions (direct):
Co: 0.5000 0.5000 0.5000  1.55
Os: 0.7500 0.7500 0.7500  0.40
Rh: 0.0000 0.0000 0.0000  0.05

Results
total DFT energy (no corrections) = -23.658 eV/cell
ΔE_f = 676 meV/atom


The following is a DFT calculation (PBE-GGA) of crystalline CoOsRh at its relaxed geometry.

Cell: 3.7981 2.6854 10.9230 Å, 90.00 90.00 135.00°
Site moments in Bohr magnetons follow the coordinates.
Positions (direct):
Co: 0.2500 0.4999 0.0741  1.21
Co: 0.7500 0.5001 0.9259  1.21
Rh: 0.2500 0.4999 0.4059  -0.07
Rh: 0.7500 0.5001 0.5941  -0.07
Os: 0.2500 0.5001 0.7681  0.01
Os: 0.7500 0.4999 0.2319  0.01

Results
total DFT energy (no corrections) = -50.764 eV/cell
ΔE_f = 102 meV/atom


The following is a DFT calculation (PBE-GGA) of crystalline CoOs2Rh at its relaxed geometry.

Cell: 2.7001 3.7585 5.3175 Å, 90.00 90.00 90.00°
Site moments in Bohr magnetons follow the coordinates.
Positions (direct):
Co: 0.5000 0.5000 0.7517  1.12
Os: 0.0000 0.0000 0.9965  0.00
Os: 0.5000 0.5000 0.2411  -0.03
Rh: 0.0000 0.0000 0.5106  0.15

Results
total DFT energy (no corrections) = -36.477 eV/cell
ΔE_f = 110 meV/atom


The following is a DFT calculation (PBE-GGA) of crystalline CoOs3Rh at its relaxed geometry.

Cell: 4.3444 4.3444 4.3444 Å, 90.00 90.00 90.00°
Positions (direct):
Rh: 0.5000 0.5000 0.5000
Os: 0.0000 0.5000 0.0000
Os: 0.0000 0.0000 0.5000
Os: 0.5000 0.0000 0.0000
Co: 0.0000 0.0000 0.0000

Results
total DFT energy (no corrections) = -39.032 eV/cell
ΔE_f = 1823 meV/atom


The following is a DFT calculation (PBE-GGA) of crystalline CoSb2OsRh at its relaxed geometry.

Cell: 4.6912 4.4713 4.6912 Å, 90.00 90.00 90.00°
Site moments in Bohr magnetons follow the coordinates.
Positions (direct):
Sb: 0.0000 0.0000 0.5000  0.00
Sb: 0.5000 0.0000 0.0000  0.00
Os: 0.5000 0.5000 0.5000  -0.29
Rh: 0.0000 0.5000 0.0000  0.58
Co: 0.0000 0.0000 0.0000  0.80

Results
total DFT energy (no corrections) = -27.978 eV/cell
uncorrected formation energy = 1.191 eV per atom


The following is a DFT calculation (PBE-GGA) of crystalline CoSn2OsRh at its relaxed geometry.

Cell: 4.6800 4.4241 4.6800 Å, 90.00 90.00 90.00°
Site moments in Bohr magnetons follow the coordinates.
Positions (direct):
Rh: 0.0000 0.5000 0.0000  0.58
Os: 0.5000 0.5000 0.5000  0.03
Sn: 0.0000 0.0000 0.5000  -0.01
Sn: 0.5000 0.0000 0.0000  -0.01
Co: 0.0000 0.0000 0.0000  0.87

Results
total DFT energy (no corrections) = -28.060 eV/cell
ΔE_f = 1127 meV/atom


The following is a DFT calculation (PBE-GGA) of crystalline VCoOsRh at its relaxed geometry.

Cell: 3.6217 3.7646 3.8058 Å, 90.00 90.00 90.00°
Positions (direct):
V: 0.5000 0.0000 0.5000
Co: 0.5000 0.5000 0.0000
Os: 0.0000 0.5000 0.5000
Rh: 0.0000 0.0000 0.0000

Results
total DFT energy (no corrections) = -35.545 eV/cell
ΔE_f = -185 meV/atom


The following is a DFT calculation (PBE-GGA) of crystalline Co2OsRu at its relaxed geometry.

Cell: 4.4545 4.4545 4.5820 Å, 80.32 80.32 34.27°
Site moments in Bohr magnetons follow the coordinates.
Positions (direct):
Co: 0.0004 0.0004 0.9942  0.99
Co: 0.4996 0.4996 0.5058  0.99
Os: 0.7500 0.7500 0.7500  -0.06
Ru: 0.2500 0.2500 0.2500  -0.01

Results
total DFT energy (no corrections) = -33.945 eV/cell
ΔE_f = 193 meV/atom


The following is a DFT calculation (PBE-GGA) of crystalline Co2OsRu at its relaxed geometry.

Cell: 8.5499 8.5499 8.5499 Å, 17.77 17.77 17.77°
Site moments in Bohr magnetons follow the coordinates.
Positions (direct):
Co: 0.0001 0.0001 0.0001  1.28
Co: 0.4999 0.4999 0.4999  1.28
Os: 0.2500 0.2500 0.2500  0.04
Ru: 0.7500 0.7500 0.7500  0.07

Results
total DFT energy (no corrections) = -33.903 eV/cell
ΔE_f = 204 meV/atom


The following is a DFT calculation (PBE-GGA) of crystalline CoOsRu2 at its relaxed geometry.

Cell: 5.2966 5.2966 6.5951 Å, 66.32 66.32 90.00°
Positions (direct):
Ru: 0.6033 0.1250 0.2500
Ru: 0.1467 0.6250 0.2500
Ru: 0.3750 0.3967 0.7500
Ru: 0.8750 0.8533 0.7500
Os: 0.0000 0.0000 0.0000
Os: 0.7500 0.2500 0.5000
Co: 0.5000 0.5000 0.0000
Co: 0.2500 0.7500 0.5000

Results
total DFT energy (no corrections) = -64.255 eV/cell
ΔE_f = 1190 meV/atom


The following is a DFT calculation (PBE-GGA) of crystalline Co2OsRu at its relaxed geometry.

Cell: 4.5270 4.5270 4.5270 Å, 132.35 132.35 69.68°
Site moments in Bohr magnetons follow the coordinates.
Positions (direct):
Co: 0.0000 0.0000 0.0000  1.03
Co: 0.2500 0.7500 0.5000  0.93
Os: 0.5000 0.5000 0.0000  0.03
Ru: 0.7500 0.2500 0.5000  0.06

Results
total DFT energy (no corrections) = -34.195 eV/cell
ΔE_f = 131 meV/atom


The following is a DFT calculation (PBE-GGA) of crystalline Co2OsRu at its relaxed geometry.

Cell: 2.6125 3.6453 5.2042 Å, 90.00 90.00 90.00°
Site moments in Bohr magnetons follow the coordinates.
Positions (direct):
Co: 0.0000 0.0000 0.0040  0.69
Co: 0.0000 0.0000 0.4960  0.69
Os: 0.5000 0.5000 0.2500  -0.03
Ru: 0.5000 0.5000 0.7500  0.09

Results
total DFT energy (no corrections) = -34.033 eV/cell
ΔE_f = 171 meV/atom


The following is a DFT calculation (PBE-GGA) of crystalline CoOsRu2 at its relaxed geometry.

Cell: 2.7356 4.4795 4.4747 Å, 90.00 90.00 90.00°
Site moments in Bohr magnetons follow the coordinates.
Positions (direct):
Co: 0.5000 0.0000 0.5000  1.42
Os: 0.0000 0.5000 0.5000  0.20
Ru: 0.0000 0.0000 0.0000  0.40
Ru: 0.5000 0.5000 0.0000  0.36

Results
total DFT energy (no corrections) = -34.894 eV/cell
ΔE_f = 498 meV/atom


The following is a DFT calculation (PBE-GGA) of crystalline CoOsRu2 at its relaxed geometry.

Cell: 4.2674 4.2674 4.2674 Å, 60.00 60.00 60.00°
Site moments in Bohr magnetons follow the coordinates.
Positions (direct):
Ru: 0.2500 0.2500 0.2500  0.23
Ru: 0.7500 0.7500 0.7500  0.23
Os: 0.5000 0.5000 0.5000  -0.09
Co: 0.0000 0.0000 0.0000  1.73

Results
total DFT energy (no corrections) = -34.859 eV/cell
ΔE_f = 507 meV/atom


The following is a DFT calculation (PBE-GGA) of crystalline CoOsRu2 at its relaxed geometry.

Cell: 5.2382 5.2382 5.2382 Å, 149.72 131.11 58.60°
Site moments in Bohr magnetons follow the coordinates.
Positions (direct):
Co: 0.4972 0.4972 0.0000  0.97
Os: 0.2779 0.7779 0.5000  0.03
Ru: 0.0055 0.0055 0.0000  0.10
Ru: 0.7195 0.2195 0.5000  0.05

Results
total DFT energy (no corrections) = -35.418 eV/cell
ΔE_f = 367 meV/atom


The following is a DFT calculation (PBE-GGA) of crystalline Co2OsRu at its relaxed geometry.

Cell: 3.6354 3.6923 3.6923 Å, 90.00 90.00 90.00°
Site moments in Bohr magnetons follow the coordinates.
Positions (direct):
Co: 0.0000 0.0000 0.0000  0.74
Co: 0.0000 0.5000 0.5000  0.74
Os: 0.5000 0.5000 0.0000  0.08
Ru: 0.5000 0.0000 0.5000  0.03

Results
total DFT energy (no corrections) = -33.988 eV/cell
ΔE_f = 182 meV/atom


The following is a DFT calculation (PBE-GGA) of crystalline Co2OsRu at its relaxed geometry.

Cell: 5.1712 5.1712 6.3626 Å, 66.02 66.02 90.00°
Positions (direct):
Ru: 0.5000 0.5000 0.0000
Ru: 0.2500 0.7500 0.5000
Os: 0.0000 0.0000 0.0000
Os: 0.7500 0.2500 0.5000
Co: 0.6237 0.1250 0.2500
Co: 0.1263 0.6250 0.2500
Co: 0.3750 0.3763 0.7500
Co: 0.8750 0.8737 0.7500

Results
total DFT energy (no corrections) = -59.354 eV/cell
ΔE_f = 1260 meV/atom


The following is a DFT calculation (PBE-GGA) of crystalline CoOsRu2 at its relaxed geometry.

Cell: 8.7321 8.7321 8.7321 Å, 17.73 17.73 17.73°
Site moments in Bohr magnetons follow the coordinates.
Positions (direct):
Co: 0.5000 0.5000 0.5000  1.47
Os: 0.7517 0.7517 0.7517  0.02
Ru: 0.9998 0.9998 0.9998  -0.09
Ru: 0.2485 0.2485 0.2485  0.07

Results
total DFT energy (no corrections) = -36.156 eV/cell
ΔE_f = 183 meV/atom


The following is a DFT calculation (PBE-GGA) of crystalline Co2OsRu at its relaxed geometry.

Cell: 4.1442 4.1442 4.1442 Å, 60.00 60.00 60.00°
Site moments in Bohr magnetons follow the coordinates.
Positions (direct):
Ru: 0.0000 0.0000 0.0000  0.23
Os: 0.5000 0.5000 0.5000  0.22
Co: 0.2500 0.2500 0.2500  1.34
Co: 0.7500 0.7500 0.7500  1.34

Results
total DFT energy (no corrections) = -33.267 eV/cell
ΔE_f = 363 meV/atom


The following is a DFT calculation (PBE-GGA) of crystalline CoOsRu2 at its relaxed geometry.

Cell: 4.5847 4.5847 4.6119 Å, 80.56 80.56 33.82°
Positions (direct):
Co: 0.5012 0.5012 0.4979
Os: 0.2488 0.2488 0.2582
Ru: 0.9998 0.9998 0.0013
Ru: 0.7502 0.7502 0.7426

Results
total DFT energy (no corrections) = -36.264 eV/cell
ΔE_f = 156 meV/atom


The following is a DFT calculation (PBE-GGA) of crystalline Co2OsRu at its relaxed geometry.

Cell: 2.6584 3.6573 5.1603 Å, 90.00 90.00 90.00°
Site moments in Bohr magnetons follow the coordinates.
Positions (direct):
Co: 0.0000 0.0000 0.0150  1.21
Co: 0.5000 0.5000 0.2379  1.06
Os: 0.0000 0.0000 0.4943  -0.04
Ru: 0.5000 0.5000 0.7528  -0.02

Results
total DFT energy (no corrections) = -34.157 eV/cell
ΔE_f = 140 meV/atom